Entry 1:
# Pr2In3Ga3 | OQMD via LeMat-Bulk | GGA-PBE | optimized geometry
data_Pr2In3Ga3
_chemical_formula_sum 'Pr2 In3 Ga3'
_cell_length_a 6.7499
_cell_length_b 6.7499
_cell_length_c 4.8769
_cell_angle_alpha 90.00
_cell_angle_beta 90.00
_cell_angle_gamma 120.00
_symmetry_space_group_name_H-M 'P -6 m 2'
_symmetry_Int_Tables_number 187
_symmetry_space_group_name_Hall 'P -6 2'
loop_
_atom_site_label
_atom_site_type_symbol
_atom_site_fract_x
_atom_site_fract_y
_atom_site_fract_z
Pr1 Pr 0.0000 0.0000 0.0000
Pr2 Pr 0.3333 0.6667 0.5000
In1 In 0.3611 0.1806 0.5000
Ga1 Ga 0.5223 0.0445 0.0000
# - Uncorrected energy: -0.14025 hartree per atom
# - Polymorph energy (0 for the lowest one): 5 meV per atom


Entry 2:
# TaNb2Pt | OQMD via LeMat-Bulk | GGA-PBE | optimized geometry
data_TaNb2Pt
_chemical_formula_sum 'Ta2 Nb4 Pt2'
_cell_length_a 5.174
_cell_length_b 5.174
_cell_length_c 5.223
_cell_angle_alpha 90.00
_cell_angle_beta 90.00
_cell_angle_gamma 90.00
_symmetry_space_group_name_H-M 'P 42/m m c'
_symmetry_Int_Tables_number 131
_symmetry_space_group_name_Hall '-P 4c 2'
loop_
_atom_site_label
_atom_site_type_symbol
_atom_site_fract_x
_atom_site_fract_y
_atom_site_fract_z
Ta1 Ta 0.000 0.000 0.250
Nb1 Nb 0.249 0.500 0.000
Pt1 Pt 0.000 0.500 0.500
# - Energy of formation: -405.9 meV per atom
# - Uncorrected energy: -0.36492 hartree per atom


Entry 3:
# ScCdAs | OQMD via LeMat-Bulk | GGA-PBE | optimized geometry
data_ScCdAs
_chemical_formula_sum 'Sc4 Cd4 As4'
_cell_length_a 6.573
_cell_length_b 6.573
_cell_length_c 6.573
_cell_angle_alpha 90.00
_cell_angle_beta 90.00
_cell_angle_gamma 90.00
_symmetry_space_group_name_H-M 'F -4 3 m'
_symmetry_Int_Tables_number 216
_symmetry_space_group_name_Hall 'F -4 2 3'
loop_
_atom_site_label
_atom_site_type_symbol
_atom_site_fract_x
_atom_site_fract_y
_atom_site_fract_z
Sc1 Sc 0.000 0.000 0.000
Cd1 Cd 0.250 0.250 0.250
As1 As 0.250 0.250 0.750
# - Uncorrected energy: -0.15852 hartree per atom


Entry 4:
# DyYSc | OQMD via LeMat-Bulk | GGA-PBE | optimized geometry
data_DyYSc
_chemical_formula_sum 'Dy4 Y4 Sc4'
_cell_length_a 7.413
_cell_length_b 7.413
_cell_length_c 7.413
_cell_angle_alpha 90.00
_cell_angle_beta 90.00
_cell_angle_gamma 90.00
_symmetry_space_group_name_H-M 'F -4 3 m'
_symmetry_Int_Tables_number 216
_symmetry_space_group_name_Hall 'F -4 2 3'
loop_
_atom_site_label
_atom_site_type_symbol
_atom_site_fract_x
_atom_site_fract_y
_atom_site_fract_z
Dy1 Dy 0.000 0.000 0.000
Y1 Y 0.000 0.000 0.500
Sc1 Sc 0.250 0.250 0.250
# - Energy of formation: 692.1 meV per atom
# - Uncorrected energy: -0.18765 hartree per atom
# - Polymorph energy (0 for the lowest one): 0 meV per atom


Entry 5:
# Pr3Cd4Ge4 | OQMD via LeMat-Bulk | GGA-PBE | optimized geometry
data_Pr3Cd4Ge4
_chemical_formula_sum 'Pr6 Cd8 Ge8'
_cell_length_a 4.299
_cell_length_b 4.485
_cell_length_c 27.373
_cell_angle_alpha 90.00
_cell_angle_beta 90.00
_cell_angle_gamma 90.00
_symmetry_space_group_name_H-M 'I m m m'
_symmetry_Int_Tables_number 71
_symmetry_space_group_name_Hall '-I 2 2'
loop_
_atom_site_label
_atom_site_type_symbol
_atom_site_fract_x
_atom_site_fract_y
_atom_site_fract_z
Pr1 Pr 0.000 0.000 0.000
Pr2 Pr 0.000 0.500 0.143
Cd1 Cd 0.000 0.000 0.251
Cd2 Cd 0.000 0.500 0.408
Ge1 Ge 0.000 0.000 0.455
Ge2 Ge 0.000 0.500 0.313
# - Uncorrected energy: -0.13777 hartree per atom


Entry 6:
# PrYAsO | OQMD via LeMat-Bulk | GGA-PBE | optimized geometry
data_PrYAsO
_chemical_formula_sum 'Pr2 Y2 As2 O2'
_cell_length_a 4.353
_cell_length_b 7.585
_cell_length_c 6.180
_cell_angle_alpha 90.00
_cell_angle_beta 90.00
_cell_angle_gamma 90.00
_symmetry_space_group_name_H-M 'P m c 21'
_symmetry_Int_Tables_number 26
loop_
_symmetry_equiv_pos_as_xyz
'x,y,z'
'-x,-y,z+1/2'
'-x,y,z'
'x,-y,z+1/2'
loop_
_atom_site_label
_atom_site_type_symbol
_atom_site_fract_x
_atom_site_fract_y
_atom_site_fract_z
Pr1 Pr 0.000 0.203 0.000
Y1 Y 0.500 0.393 0.585
As1 As 0.000 0.181 0.492
O1 O 0.500 0.338 0.938
# - Uncorrected energy: -0.26351 hartree per atom
# - Polymorph energy (0 for the lowest one): 0 meV per atom


Entry 7:
# AgBiPF | OQMD via LeMat-Bulk | GGA-PBE | optimized geometry
data_AgBiPF
_chemical_formula_sum 'Ag6 Bi6 P6 F6'
_cell_length_a 4.1319
_cell_length_b 4.1319
_cell_length_c 31.6083
_cell_angle_alpha 90.00
_cell_angle_beta 90.00
_cell_angle_gamma 120.00
_symmetry_space_group_name_H-M 'R -3 m'
_symmetry_Int_Tables_number 166
_symmetry_space_group_name_Hall '-R 3 2"'
loop_
_atom_site_label
_atom_site_type_symbol
_atom_site_fract_x
_atom_site_fract_y
_atom_site_fract_z
Ag1 Ag 0.0000 0.0000 0.1919
Bi1 Bi 0.0000 0.0000 0.3919
P1 P 0.0000 0.0000 0.1061
F1 F 0.0000 0.0000 0.3067
# - Uncorrected energy: -0.15467 hartree per atom
# - Polymorph energy (0 for the lowest one): 0 meV per atom


Entry 8:
# KDySO | OQMD via LeMat-Bulk | GGA-PBE | optimized geometry
data_KDySO
_chemical_formula_sum 'K2 Dy2 S2 O2'
_cell_length_a 4.394
_cell_length_b 8.026
_cell_length_c 6.408
_cell_angle_alpha 90.00
_cell_angle_beta 90.00
_cell_angle_gamma 90.00
_symmetry_space_group_name_H-M 'P m c 21'
_symmetry_Int_Tables_number 26
loop_
_symmetry_equiv_pos_as_xyz
'x,y,z'
'-x,-y,z+1/2'
'-x,y,z'
'x,-y,z+1/2'
loop_
_atom_site_label
_atom_site_type_symbol
_atom_site_fract_x
_atom_site_fract_y
_atom_site_fract_z
K1 K 0.000 0.194 0.000
Dy1 Dy 0.500 0.371 0.432
S1 S 0.000 0.200 0.512
O1 O 0.500 0.407 0.106
# - Uncorrected energy: -0.21741 hartree per atom
# - Polymorph energy (0 for the lowest one): 105 meV per atom


Entry 9:
# BeCdFeSi | OQMD via LeMat-Bulk | GGA-PBE | optimized geometry
data_BeCdFeSi
_chemical_formula_sum 'Be4 Cd4 Fe4 Si4'
_cell_length_a 5.926
_cell_length_b 5.926
_cell_length_c 5.926
_cell_angle_alpha 90.00
_cell_angle_beta 90.00
_cell_angle_gamma 90.00
_symmetry_space_group_name_H-M 'F -4 3 m'
_symmetry_Int_Tables_number 216
_symmetry_space_group_name_Hall 'F -4 2 3'
loop_
_atom_site_label
_atom_site_type_symbol
_atom_site_fract_x
_atom_site_fract_y
_atom_site_fract_z
Be1 Be 0.000 0.000 0.000
Cd1 Cd 0.250 0.250 0.250
Fe1 Fe 0.250 0.250 0.750
Si1 Si 0.000 0.000 0.500
# - Uncorrected energy: -0.15251 hartree per atom
# - Polymorph energy (0 for the lowest one): 5 meV per atom


Entry 10:
# ZnSnPO | OQMD via LeMat-Bulk | GGA-PBE | optimized geometry
data_ZnSnPO
_chemical_formula_sum 'Zn2 Sn2 P2 O2'
_cell_length_a 4.123
_cell_length_b 6.082
_cell_length_c 5.803
_cell_angle_alpha 90.00
_cell_angle_beta 90.00
_cell_angle_gamma 90.00
_symmetry_space_group_name_H-M 'P m c 21'
_symmetry_Int_Tables_number 26
loop_
_symmetry_equiv_pos_as_xyz
'x,y,z'
'-x,-y,z+1/2'
'-x,y,z'
'x,-y,z+1/2'
loop_
_atom_site_label
_atom_site_type_symbol
_atom_site_fract_x
_atom_site_fract_y
_atom_site_fract_z
Zn1 Zn 0.000 0.152 0.000
Sn1 Sn 0.500 0.280 0.433
P1 P 0.500 0.296 0.883
O1 O 0.000 0.163 0.362
# - Uncorrected energy: -0.16572 hartree per atom
# - Polymorph energy (0 for the lowest one): 0 meV per atom


Entry 11:
# Te3Ir | OQMD via LeMat-Bulk | GGA-PBE | optimized geometry
data_Te3Ir
_chemical_formula_sum 'Te6 Ir2'
_cell_length_a 6.323
_cell_length_b 3.813
_cell_length_c 9.507
_cell_angle_alpha 90.00
_cell_angle_beta 105.02
_cell_angle_gamma 90.00
_symmetry_space_group_name_H-M 'P 1 21/m 1'
_symmetry_Int_Tables_number 11
loop_
_symmetry_equiv_pos_as_xyz
'x,y,z'
'-x,-y,-z'
'-x,y+1/2,-z'
'x,-y+1/2,z'
loop_
_atom_site_label
_atom_site_type_symbol
_atom_site_fract_x
_atom_site_fract_y
_atom_site_fract_z
Te1 Te 0.002 0.250 0.324
Te2 Te 0.276 0.750 0.010
Te3 Te 0.463 0.750 0.659
Ir1 Ir 0.309 0.250 0.817
# - Uncorrected energy: -0.16821 hartree per atom


Entry 12:
# ErTh | OQMD via LeMat-Bulk | GGA-PBE | optimized geometry
data_ErTh
_chemical_formula_sum 'Er4 Th4'
_cell_length_a 6.518
_cell_length_b 6.518
_cell_length_c 6.518
_cell_angle_alpha 90.00
_cell_angle_beta 90.00
_cell_angle_gamma 90.00
_symmetry_space_group_name_H-M 'F m -3 m'
_symmetry_Int_Tables_number 225
_symmetry_space_group_name_Hall '-F 4 2 3'
loop_
_atom_site_label
_atom_site_type_symbol
_atom_site_fract_x
_atom_site_fract_y
_atom_site_fract_z
Er1 Er 0.000 0.000 0.000
Th1 Th 0.000 0.000 0.500
# - Energy of formation: 954.4 meV per atom
# - Uncorrected energy: -0.18499 hartree per atom
# - Polymorph energy (0 for the lowest one): 898 meV per atom